(1)
The following is a PBE calculation of a relaxed structure of LaY2ScSb4, from Alexandria via LeMat-Bulk.

Cell and atoms, written as POSCAR:
```
LaY2ScSb4
1.0
7.609 0.000 0.000
0.000 4.410 0.000
-2.543 0.000 7.194
La Y Sc Sb
1 2 1 4
Direct
0.000 0.000 0.000
0.000 0.500 0.500
0.500 0.000 0.500
0.500 0.500 0.000
0.264 0.000 0.756
0.264 0.500 0.254
0.736 0.000 0.244
0.736 0.500 0.746
```

Results
Its symmetry is P2/m, No. 10. The density of states at the Fermi level is 0.14 states/eV/atom. As for the total energy: -0.227 hartree per atom.

(2)
The following is a PBE calculation of a relaxed structure of Cs3Nb2I9, from Alexandria via LeMat-Bulk.

Cell and atoms, written as POSCAR:
```
Cs3Nb2I9
1.0
8.534 0.000 0.000
-4.267 7.391 0.000
0.000 0.000 20.090
Cs Nb I
6 4 18
Direct
0.000 0.000 0.250
0.000 0.000 0.750
0.333 0.667 0.064
0.333 0.667 0.436
0.667 0.333 0.564
0.667 0.333 0.936
0.333 0.667 0.681
0.333 0.667 0.819
0.667 0.333 0.181
0.667 0.333 0.319
0.006 0.503 0.250
0.176 0.352 0.597
0.176 0.352 0.903
0.176 0.824 0.597
0.176 0.824 0.903
0.352 0.176 0.097
0.352 0.176 0.403
0.497 0.503 0.250
0.497 0.994 0.250
0.503 0.006 0.750
0.503 0.497 0.750
0.648 0.824 0.597
0.648 0.824 0.903
0.824 0.176 0.097
0.824 0.176 0.403
0.824 0.648 0.097
0.824 0.648 0.403
0.994 0.497 0.750
```

Results
Its symmetry is P6_3/mmc, No. 194. The density of states at the Fermi level is 0.04 states/eV/atom. As for the total energy: -0.131 hartree per atom.

(3)
The following is a PBE calculation of a relaxed structure of ZnRe2Hg, from Alexandria via LeMat-Bulk.

Cell and atoms, written as POSCAR:
```
ZnRe2Hg
1.0
1.466 -2.387 0.000
1.466 2.387 0.000
0.000 0.000 9.588
Zn Re Hg
1 2 1
Direct
0.000 0.000 0.000
0.000 0.000 0.542
0.500 0.500 0.763
0.500 0.500 0.265
```

Results
Its symmetry is Cmm2, No. 35. The density of states at the Fermi level is 0.42 states/eV/atom. As for the total energy: -0.228 hartree per atom. As for the calculated formation energy: 40.9 kJ per mole of atoms.

(4)
The following is a PBE calculation of a relaxed structure of Ce2HoSn2Hg2, from Alexandria via LeMat-Bulk.

Cell and atoms, written as POSCAR:
```
Ce2HoSn2Hg2
1.0
2.440 1.409 9.123
-2.440 1.409 9.123
0.000 -2.817 9.123
Ce Ho Sn Hg
2 1 2 2
Direct
0.141 0.141 0.141
0.859 0.859 0.859
0.000 0.000 0.000
0.275 0.275 0.275
0.725 0.725 0.725
0.428 0.428 0.428
0.572 0.572 0.572
```

Results
Its symmetry is R-3m, No. 166. The density of states at the Fermi level is 1.91 states/eV/atom. As for the total energy: -0.141 hartree per atom. As for the calculated formation energy: -25.0 kJ per mole of atoms.

(5)
The following is a PBE calculation of a relaxed structure of Y2BiTeO8, from Alexandria via LeMat-Bulk.

Cell and atoms, written as POSCAR:
```
Y2BiTeO8
1.0
3.496 -3.627 0.000
3.496 3.627 0.000
0.000 0.000 6.907
Y Bi Te O
2 1 1 8
Direct
0.000 0.000 0.241
0.000 0.000 0.759
0.500 0.500 0.500
0.500 0.500 0.000
0.190 0.190 0.500
0.222 0.222 0.000
0.318 0.682 0.214
0.318 0.682 0.786
0.682 0.318 0.214
0.682 0.318 0.786
0.778 0.778 0.000
0.810 0.810 0.500
```

Results
Its symmetry is Cmmm, No. 65. The density of states at the Fermi level is 0.12 states/eV/atom. As for the total energy: -0.259 hartree per atom.

(6)
The following is a PBE calculation of a relaxed structure of Ca3TiS, from Alexandria via LeMat-Bulk.

Cell and atoms, written as POSCAR:
```
Ca3TiS
1.0
5.705 0.000 0.000
0.000 5.705 0.000
0.000 0.000 5.705
Ca Ti S
3 1 1
Direct
0.000 0.000 0.500
0.000 0.500 0.000
0.500 0.000 0.000
0.000 0.000 0.000
0.500 0.500 0.500
```

Results
Its symmetry is Pm-3m, No. 221. The density of states at the Fermi level is 0.57 states/eV/atom. As for the total energy: -0.109 hartree per atom.

(7)
The following is a PBE calculation of a relaxed structure of Mg3MnNi2, from Alexandria via LeMat-Bulk.

Cell and atoms, written as POSCAR:
```
Mg3MnNi2
1.0
0.000 5.729 5.729
5.729 0.000 5.729
5.729 5.729 0.000
Mg Mn Ni
12 4 8
Direct
0.073 0.073 0.677
0.073 0.677 0.073
0.073 0.677 0.677
0.323 0.323 0.927
0.323 0.927 0.323
0.323 0.927 0.927
0.677 0.073 0.073
0.677 0.073 0.677
0.677 0.677 0.073
0.927 0.323 0.323
0.927 0.323 0.927
0.927 0.927 0.323
0.000 0.500 0.500
0.500 0.000 0.500
0.500 0.500 0.000
0.500 0.500 0.500
0.295 0.295 0.295
0.295 0.295 0.615
0.295 0.615 0.295
0.385 0.705 0.705
0.615 0.295 0.295
0.705 0.385 0.705
0.705 0.705 0.385
0.705 0.705 0.705
```

Results
Its symmetry is Fd-3m, No. 227. The density of states at the Fermi level is 0.59 states/eV/atom. As for the total energy: -0.162 hartree per atom. As for the calculated formation energy: -14.8 kJ per mole of atoms.

(8)
The following is a PBE calculation of a relaxed structure of K6NaBr8, from Alexandria via LeMat-Bulk.

Cell and atoms, written as POSCAR:
```
K6NaBr8
1.0
9.721 0.000 0.000
-4.861 8.419 0.000
0.000 0.000 6.791
K Na Br
6 1 8
Direct
0.000 0.370 0.221
0.000 0.630 0.779
0.370 0.000 0.221
0.370 0.370 0.779
0.630 0.000 0.779
0.630 0.630 0.221
0.000 0.000 0.500
0.000 0.282 0.709
0.000 0.718 0.291
0.282 0.000 0.709
0.282 0.282 0.291
0.333 0.667 0.000
0.667 0.333 0.000
0.718 0.000 0.291
0.718 0.718 0.709
```

Results
Its symmetry is P-31m, No. 162. The density of states at the Fermi level is 1.56 states/eV/atom. As for the total energy: -0.108 hartree per atom.

(9)
The following is a PBE calculation of a relaxed structure of KMn2CdBr8, from Alexandria via LeMat-Bulk.

Cell and atoms, written as POSCAR:
```
KMn2CdBr8
1.0
6.955 0.000 0.000
-3.477 6.023 0.000
0.000 0.000 9.587
K Mn Cd Br
1 2 1 8
Direct
0.000 0.000 0.000
0.333 0.667 0.741
0.667 0.333 0.259
0.000 0.000 0.500
0.005 0.680 0.323
0.320 0.325 0.323
0.325 0.005 0.677
0.333 0.667 0.989
0.667 0.333 0.011
0.675 0.995 0.323
0.680 0.675 0.677
0.995 0.320 0.677
```

Results
Its symmetry is P-3, No. 147. The density of states at the Fermi level is 0.87 states/eV/atom. As for the total energy: -0.135 hartree per atom.

(10)
The following is a PBE calculation of a relaxed structure of CdSeOF2, from Alexandria via LeMat-Bulk.

Cell and atoms, written as POSCAR:
```
CdSeOF2
1.0
4.293 0.000 0.000
0.000 4.293 0.000
0.000 0.000 4.541
Cd Se O F
1 1 1 2
Direct
0.000 0.000 0.000
0.500 0.500 0.500
0.000 0.000 0.500
0.000 0.500 0.000
0.500 0.000 0.000
```

Results
Its symmetry is P4/mmm, No. 123. The density of states at the Fermi level is 0.65 states/eV/atom. As for the total energy: -0.115 hartree per atom.

(11)
The following is a PBE calculation of a relaxed structure of Nb2AlB, from Alexandria via LeMat-Bulk.

Cell and atoms, written as POSCAR:
```
Nb2AlB
1.0
0.000 3.076 3.076
3.076 0.000 3.076
3.076 3.076 0.000
Nb Al B
2 1 1
Direct
0.250 0.250 0.250
0.750 0.750 0.750
0.000 0.000 0.000
0.500 0.500 0.500
```

Results
Its symmetry is Fm-3m, No. 225. The density of states at the Fermi level is 1.35 states/eV/atom. As for the total energy: -0.268 hartree per atom. As for the calculated formation energy: 33.9 kJ per mole of atoms.

(12)
The following is a PBE calculation of a relaxed structure of LiAcPrO4, from Alexandria via LeMat-Bulk.

Cell and atoms, written as POSCAR:
```
LiAcPrO4
1.0
2.521 -6.673 0.000
2.521 6.673 0.000
0.000 0.000 5.629
Li Ac Pr O
2 2 2 8
Direct
0.239 0.761 0.750
0.761 0.239 0.250
0.111 0.889 0.250
0.889 0.111 0.750
0.382 0.618 0.250
0.618 0.382 0.750
0.000 0.500 0.000
0.000 0.500 0.500
0.076 0.924 0.750
0.438 0.562 0.750
0.500 0.000 0.000
0.500 0.000 0.500
0.562 0.438 0.250
0.924 0.076 0.250
```

Results
Its symmetry is Cmcm, No. 63. The density of states at the Fermi level is 0.49 states/eV/atom. As for the total energy: -0.260 hartree per atom.

(13)
The following is a PBE calculation of a relaxed structure of Pr5Ho2Er2, from Alexandria via LeMat-Bulk.

Cell and atoms, written as POSCAR:
```
Pr5Ho2Er2
1.0
-7.606 6.470 3.125
7.606 -6.470 3.125
7.606 6.470 -3.125
Pr Ho Er
10 4 4
Direct
0.160 0.488 0.960
0.160 0.700 0.172
0.198 0.049 0.248
0.198 0.451 0.649
0.528 0.200 0.040
0.528 0.988 0.828
0.577 0.501 0.575
0.802 0.549 0.351
0.802 0.951 0.752
0.926 0.001 0.425
0.218 0.025 0.693
0.331 0.525 0.307
0.411 0.411 0.000
0.411 0.911 0.500
0.797 0.211 0.314
0.797 0.982 0.085
0.897 0.482 0.686
0.897 0.711 0.915
```

Results
Its symmetry is Ima2, No. 46. The density of states at the Fermi level is 1.29 states/eV/atom. As for the total energy: -0.166 hartree per atom. As for the calculated formation energy: 16.7 kJ per mole of atoms.

(14)
The following is a PBE calculation of a relaxed structure of K3ScAg, from Alexandria via LeMat-Bulk.

Cell and atoms, written as POSCAR:
```
K3ScAg
1.0
6.878 0.000 0.000
0.000 6.878 0.000
0.000 0.000 6.878
K Sc Ag
3 1 1
Direct
0.000 0.000 0.500
0.000 0.500 0.000
0.500 0.000 0.000
0.000 0.000 0.000
0.500 0.500 0.500
```

Results
Its symmetry is Pm-3m, No. 221. The density of states at the Fermi level is 4.15 states/eV/atom. As for the total energy: -0.056 hartree per atom. As for the calculated formation energy: 92.9 kJ per mole of atoms.

(15)
The following is a PBE calculation of a relaxed structure of MgUZn, from Alexandria via LeMat-Bulk.

Cell and atoms, written as POSCAR:
```
MgUZn
1.0
-1.412 1.412 7.168
1.412 -1.412 7.168
1.412 1.412 -7.168
Mg U Zn
1 1 1
Direct
0.000 0.000 0.000
0.689 0.689 0.000
0.353 0.353 0.000
```

Results
Its symmetry is I4mm, No. 107. The density of states at the Fermi level is 1.18 states/eV/atom. As for the total energy: -0.169 hartree per atom. As for the calculated formation energy: 12.3 kJ per mole of atoms.

(16)
The following is a PBE calculation of a relaxed structure of SrCdNi2, from Alexandria via LeMat-Bulk.

Cell and atoms, written as POSCAR:
```
SrCdNi2
1.0
3.268 0.000 0.000
0.000 3.268 0.000
0.000 0.000 7.385
Sr Cd Ni
1 1 2
Direct
0.000 0.000 0.000
0.500 0.500 0.356
0.000 0.000 0.603
0.500 0.500 0.709
```

Results
Its symmetry is P4mm, No. 99. The density of states at the Fermi level is 1.11 states/eV/atom. As for the total energy: -0.125 hartree per atom. As for the calculated formation energy: 14.4 kJ per mole of atoms.

(17)
The following is a PBE calculation of a relaxed structure of Tl3C, from Alexandria via LeMat-Bulk.

Cell and atoms, written as POSCAR:
```
Tl3C
1.0
2.508 -5.434 0.000
2.508 5.434 0.000
0.000 0.000 3.775
Tl C
3 1
Direct
0.000 0.000 0.000
0.340 0.660 0.500
0.660 0.340 0.500
0.500 0.500 0.000
```

Results
Its symmetry is Cmmm, No. 65. The density of states at the Fermi level is 0.33 states/eV/atom. As for the total energy: -0.114 hartree per atom. As for the calculated formation energy: 94.6 kJ per mole of atoms.

(18)
The following is a PBE calculation of a relaxed structure of K3PO, from Alexandria via LeMat-Bulk.

Cell and atoms, written as POSCAR:
```
K3PO
1.0
5.280 0.000 0.000
0.000 5.280 0.000
0.000 0.000 5.280
K P O
3 1 1
Direct
0.000 0.000 0.500
0.000 0.500 0.000
0.500 0.000 0.000
0.500 0.500 0.500
0.000 0.000 0.000
```

Results
Its symmetry is Pm-3m, No. 221. The density of states at the Fermi level is 2.89 states/eV/atom. As for the total energy: -0.116 hartree per atom.

(19)
The following is a PBE calculation of a relaxed structure of CdBr2F, from Alexandria via LeMat-Bulk.

Cell and atoms, written as POSCAR:
```
CdBr2F
1.0
0.000 3.447 3.447
3.447 0.000 3.447
3.447 3.447 0.000
Cd Br F
1 2 1
Direct
0.000 0.000 0.000
0.250 0.250 0.250
0.750 0.750 0.750
0.500 0.500 0.500
```

Results
Its symmetry is Fm-3m, No. 225. The density of states at the Fermi level is 2.92 states/eV/atom. As for the total energy: -0.072 hartree per atom.

(20)
The following is a PBE calculation of a relaxed structure of DyY2MnN4, from Alexandria via LeMat-Bulk.

Cell and atoms, written as POSCAR:
```
DyY2MnN4
1.0
1.678 -5.674 0.000
1.678 5.674 0.000
0.000 0.000 11.539
Dy Y Mn N
2 4 2 8
Direct
0.120 0.880 0.750
0.880 0.120 0.250
0.368 0.632 0.544
0.368 0.632 0.956
0.632 0.368 0.044
0.632 0.368 0.456
0.150 0.850 0.250
0.850 0.150 0.750
0.000 0.000 0.000
0.000 0.000 0.500
0.267 0.733 0.134
0.267 0.733 0.366
0.427 0.573 0.750
0.573 0.427 0.250
0.733 0.267 0.634
0.733 0.267 0.866
```

Results
Its symmetry is Cmcm, No. 63. The density of states at the Fermi level is 0.35 states/eV/atom. As for the total energy: -0.318 hartree per atom.